[1]
Below is a relaxed LiCePm2Se5 crystal, with properties calculated at the PBE level.

The calculation puts the uncorrected formation energy at -1.7027 eV/atom.

It has space group Cmc2_1 (No. 36), with a = 4.1572 Å, b = 17.3415 Å, c = 12.5428 Å, α = 90.00°, β = 90.00° and γ = 90.00°. The distinct sites, in fractional coordinates, are Li at (0.0000, 0.0146, 0.0000), Ce at (0.0000, 0.3030, 0.5210), Pm at (0.0000, 0.3767, 0.8168), Pm at (0.0000, 0.3905, 0.2042), Se at (0.0000, 0.0009, 0.8035), Se at (0.0000, 0.1351, 0.5181), Se at (0.0000, 0.1903, 0.8568), Se at (0.0000, 0.2108, 0.1854) and Se at (0.0000, 0.4553, 0.5942).


[2]
Below is a relaxed Li2CePm2Si2 crystal, with properties calculated at the PBE level.

The calculation puts the uncorrected formation energy at -0.3473 eV/atom.

It has space group R-3m (No. 166, hexagonal axes), with a = 4.5369 Å, b = 4.5369 Å, c = 26.7328 Å, α = 90.00°, β = 90.00° and γ = 120.00°. The distinct sites, in fractional coordinates, are Li at (0.0000, 0.0000, 0.1026), Ce at (0.0000, 0.0000, 0.5000), Pm at (0.0000, 0.0000, 0.3739) and Si at (0.0000, 0.0000, 0.2345).


[3]
Below is a relaxed Li2Ce2PmSi2 crystal, with properties calculated at the PBE level.

The calculation puts the uncorrected formation energy at -0.3939 eV/atom.

It has space group R-3m (No. 166, hexagonal axes), with a = 4.3908 Å, b = 4.3908 Å, c = 26.3884 Å, α = 90.00°, β = 90.00° and γ = 120.00°. The distinct sites, in fractional coordinates, are Li at (0.0000, 0.0000, 0.0923), Ce at (0.0000, 0.0000, 0.3587), Pm at (0.0000, 0.0000, 0.5000) and Si at (0.0000, 0.0000, 0.2379).


[4]
Below is a relaxed LiCePmSm crystal, with properties calculated at the PBE level.

The formation energy is 0.2820 eV/atom.

It has space group F-43m (No. 216), with a = 7.7572 Å, b = 7.7572 Å, c = 7.7572 Å, α = 90.00°, β = 90.00° and γ = 90.00°. The distinct sites, in fractional coordinates, are Li at (0.0000, 0.0000, 0.0000), Ce at (0.0000, 0.0000, 0.5000), Pm at (0.2500, 0.2500, 0.7500) and Sm at (0.2500, 0.2500, 0.2500).


[5]
Below is a relaxed Li2CePm2Sn2 crystal, with properties calculated at the PBE level.

The formation energy is -0.4221 eV/atom.

It has space group R-3m (No. 166, hexagonal axes), with a = 4.8780 Å, b = 4.8780 Å, c = 27.1027 Å, α = 90.00°, β = 90.00° and γ = 120.00°. The distinct sites, in fractional coordinates, are Li at (0.0000, 0.0000, 0.0971), Ce at (0.0000, 0.0000, 0.5000), Pm at (0.0000, 0.0000, 0.3714) and Sn at (0.0000, 0.0000, 0.2364).


[6]
Below is a relaxed Li2Ce2PmSn2 crystal, with properties calculated at the PBE level.

The formation energy is -0.4362 eV/atom.

It has space group R-3m (No. 166, hexagonal axes), with a = 4.6383 Å, b = 4.6383 Å, c = 27.6716 Å, α = 90.00°, β = 90.00° and γ = 120.00°. The distinct sites, in fractional coordinates, are Li at (0.0000, 0.0000, 0.0881), Ce at (0.0000, 0.0000, 0.3563), Pm at (0.0000, 0.0000, 0.5000) and Sn at (0.0000, 0.0000, 0.2357).


no.,D(E_F) (states/eV per cell),electronic total energy (eV/atom),size of the total moment (μB per formula unit)
1,24.74,-5.5662,0.88
2,29.06,-4.6486,0.89
3,30.22,-4.8642,1.72
4,39.54,-4.0474,2.41
5,31.51,-4.3176,1.28
6,34.52,-4.5007,2.20